VASP calculation (PBE) on a relaxed structure of Co8Au.

a = 5.709 Å, b = 5.709 Å, c = 5.709 Å
α = 95.69°, β = 95.69°, γ = 143.30°
Element x y z (fractional)
1 Co 0.000 0.343 0.343
2 Co 0.000 0.657 0.657
3 Co 0.322 0.322 0.644
4 Co 0.322 0.678 0.000
5 Co 0.343 0.000 0.343
6 Co 0.657 0.000 0.657
7 Co 0.678 0.322 0.000
8 Co 0.678 0.678 0.356
9 Au 0.000 0.000 0.000

## Properties
Energy of formation in eV per atom: 0.082

---

VASP calculation (PBE) on a relaxed structure of CdRuBr2.

a = 3.106 Å, b = 3.106 Å, c = 33.496 Å
α = 90.00°, β = 90.00°, γ = 120.00°
Element x y z (fractional)
1 Cd 0.000 0.000 0.000
2 Cd 0.333 0.667 0.667
3 Cd 0.667 0.333 0.333
4 Ru 0.000 0.000 0.500
5 Ru 0.333 0.667 0.167
6 Ru 0.667 0.333 0.833
7 Br 0.000 0.000 0.429
8 Br 0.000 0.000 0.571
9 Br 0.333 0.667 0.096
10 Br 0.333 0.667 0.237
11 Br 0.667 0.333 0.763
12 Br 0.667 0.333 0.904

## Properties
Energy relative to the lowest polymorph listed for this composition in meV per atom: 423.0
Formation energy without anion corrections in meV per atom: 391

---

VASP calculation (PBE) on a relaxed structure of Ba2LaAg2Se4.

a = 8.436 Å, b = 8.436 Å, c = 8.120 Å
α = 112.52°, β = 112.52°, γ = 29.37°
Element x y z (fractional)
1 Ba 0.136 0.136 0.083
2 Ba 0.864 0.864 0.917
3 La 0.000 0.000 0.500
4 Ag 0.312 0.312 0.493
5 Ag 0.688 0.688 0.507
6 Se 0.196 0.196 0.737
7 Se 0.481 0.481 0.754
8 Se 0.519 0.519 0.246
9 Se 0.804 0.804 0.263

## Properties
Formation energy without anion corrections in meV per atom: -1351

---

VASP calculation (PBE) on a relaxed structure of CuAsRh2.

a = 2.803 Å, b = 4.777 Å, c = 8.859 Å
α = 90.00°, β = 90.00°, γ = 90.00°
Element x y z (fractional)
1 Cu 0.000 0.000 0.000
2 Cu 0.500 0.500 0.000
3 As 0.000 0.500 0.257
4 As 0.500 0.000 0.257
5 Rh 0.000 0.000 0.498
6 Rh 0.000 0.500 0.758
7 Rh 0.500 0.000 0.758
8 Rh 0.500 0.500 0.498

## Properties
Energy of formation in eV per atom: 0.207

---

VASP calculation (PBE) on a relaxed structure of UCuMo.

a = 5.995 Å, b = 4.436 Å, c = 4.536 Å
α = 90.00°, β = 90.00°, γ = 90.00°
Element x y z (fractional)
1 U 0.250 0.000 0.000
2 U 0.750 0.000 0.000
3 Cu 0.250 0.500 0.499
4 Cu 0.750 0.500 0.501
5 Mo 0.000 0.000 0.500
6 Mo 0.500 0.000 0.500

## Properties
Energy of formation in eV per atom: 0.581

---

VASP calculation (PBE) on a relaxed structure of NdMg2Pb2.

a = 5.167 Å, b = 5.167 Å, c = 13.143 Å
α = 90.00°, β = 90.00°, γ = 120.00°
Element x y z (fractional)
1 Nd 0.000 0.000 0.250
2 Nd 0.000 0.000 0.750
3 Mg 0.000 0.000 0.000
4 Mg 0.000 0.000 0.500
5 Mg 0.333 0.667 0.250
6 Mg 0.667 0.333 0.750
7 Pb 0.333 0.667 0.621
8 Pb 0.333 0.667 0.879
9 Pb 0.667 0.333 0.121
10 Pb 0.667 0.333 0.379

## Properties
Energy of formation in eV per atom: 0.023
Energy relative to the lowest polymorph listed for this composition in meV per atom: 327.9

---

VASP calculation (PBE) on a relaxed structure of Sr2VSn2.

a = 4.874 Å, b = 4.874 Å, c = 14.185 Å
α = 90.00°, β = 90.00°, γ = 90.00°
Element x y z (fractional)
1 Sr 0.000 0.500 0.250
2 Sr 0.000 0.500 0.750
3 Sr 0.500 0.000 0.250
4 Sr 0.500 0.000 0.750
5 V 0.000 0.000 0.000
6 V 0.500 0.500 0.500
7 Sn 0.000 0.000 0.406
8 Sn 0.000 0.000 0.594
9 Sn 0.500 0.500 0.094
10 Sn 0.500 0.500 0.906

## Properties
Energy of formation in eV per atom: 0.442
Energy relative to the lowest polymorph listed for this composition in meV per atom: 651.0

---

VASP calculation (PBE) on a relaxed structure of Pm12ScPb7.

a = 9.364 Å, b = 9.364 Å, c = 9.364 Å
α = 109.20°, β = 109.20°, γ = 109.20°
Element x y z (fractional)
1 Pm 0.069 0.145 0.728
2 Pm 0.132 0.606 0.407
3 Pm 0.145 0.728 0.069
4 Pm 0.272 0.931 0.855
5 Pm 0.394 0.593 0.868
6 Pm 0.407 0.132 0.606
7 Pm 0.593 0.868 0.394
8 Pm 0.606 0.407 0.132
9 Pm 0.728 0.069 0.145
10 Pm 0.855 0.272 0.931
11 Pm 0.868 0.394 0.593
12 Pm 0.931 0.855 0.272
13 Sc 0.500 0.500 0.500
14 Pb 0.000 0.000 0.000
15 Pb 0.141 0.285 0.466
16 Pb 0.285 0.466 0.141
17 Pb 0.466 0.141 0.285
18 Pb 0.534 0.859 0.715
19 Pb 0.715 0.534 0.859
20 Pb 0.859 0.715 0.534

## Properties
Energy of formation in eV per atom: -0.325

---

VASP calculation (PBE) on a relaxed structure of Ho6Tl2Pd.

a = 8.749 Å, b = 8.749 Å, c = 3.748 Å
α = 90.00°, β = 90.00°, γ = 120.00°
Element x y z (fractional)
1 Ho 0.000 0.396 0.000
2 Ho 0.000 0.753 0.500
3 Ho 0.247 0.247 0.500
4 Ho 0.396 0.000 0.000
5 Ho 0.604 0.604 0.000
6 Ho 0.753 0.000 0.500
7 Tl 0.333 0.667 0.500
8 Tl 0.667 0.333 0.500
9 Pd 0.000 0.000 0.000

## Properties
Energy of formation in eV per atom: -0.374
Energy relative to the lowest polymorph listed for this composition in meV per atom: 0.0

---

VASP calculation (PBE) on a relaxed structure of Cd5Rh3.

a = 8.013 Å, b = 8.013 Å, c = 5.392 Å
α = 90.00°, β = 90.00°, γ = 120.00°
Element x y z (fractional)
1 Cd 0.000 0.253 0.250
2 Cd 0.000 0.747 0.750
3 Cd 0.253 0.000 0.250
4 Cd 0.253 0.253 0.750
5 Cd 0.333 0.667 0.000
6 Cd 0.333 0.667 0.500
7 Cd 0.667 0.333 0.000
8 Cd 0.667 0.333 0.500
9 Cd 0.747 0.000 0.750
10 Cd 0.747 0.747 0.250
11 Rh 0.000 0.391 0.750
12 Rh 0.000 0.609 0.250
13 Rh 0.391 0.000 0.750
14 Rh 0.391 0.391 0.250
15 Rh 0.609 0.000 0.250
16 Rh 0.609 0.609 0.750

## Properties
Energy of formation in eV per atom: -0.048
Energy relative to the lowest polymorph listed for this composition in meV per atom: 59.9

---

VASP calculation (PBE) on a relaxed structure of Sm3Y3Ga4.

a = 4.421 Å, b = 7.717 Å, c = 7.717 Å
α = 90.46°, β = 90.00°, γ = 90.00°
Element x y z (fractional)
1 Sm 0.000 0.000 0.000
2 Sm 0.000 0.154 0.503
3 Sm 0.000 0.503 0.154
4 Y 0.000 0.652 0.652
5 Y 0.500 0.327 0.828
6 Y 0.500 0.828 0.327
7 Ga 0.500 0.209 0.209
8 Ga 0.500 0.450 0.450
9 Ga 0.500 0.707 0.944
10 Ga 0.500 0.944 0.707

## Properties
Energy of formation in eV per atom: -0.531

---

VASP calculation (PBE) on a relaxed structure of PrNdTh2.

a = 8.143 Å, b = 8.143 Å, c = 8.143 Å
α = 90.00°, β = 90.00°, γ = 90.00°
Element x y z (fractional)
1 Pr 0.000 0.000 0.000
2 Pr 0.000 0.500 0.500
3 Pr 0.500 0.000 0.500
4 Pr 0.500 0.500 0.000
5 Nd 0.000 0.000 0.500
6 Nd 0.000 0.500 0.000
7 Nd 0.500 0.000 0.000
8 Nd 0.500 0.500 0.500
9 Th 0.250 0.250 0.250
10 Th 0.250 0.250 0.750
11 Th 0.250 0.750 0.250
12 Th 0.250 0.750 0.750
13 Th 0.750 0.250 0.250
14 Th 0.750 0.250 0.750
15 Th 0.750 0.750 0.250
16 Th 0.750 0.750 0.750

## Properties
Energy of formation in eV per atom: 0.222
Energy relative to the lowest polymorph listed for this composition in meV per atom: 191.4

---

VASP calculation (PBE) on a relaxed structure of TaRuAu.

a = 6.158 Å, b = 6.158 Å, c = 6.158 Å
α = 90.00°, β = 90.00°, γ = 90.00°
Element x y z (fractional)
1 Ta 0.000 0.000 0.000
2 Ta 0.000 0.500 0.500
3 Ta 0.500 0.000 0.500
4 Ta 0.500 0.500 0.000
5 Ru 0.250 0.250 0.250
6 Ru 0.250 0.750 0.750
7 Ru 0.750 0.250 0.750
8 Ru 0.750 0.750 0.250
9 Au 0.000 0.000 0.500
10 Au 0.000 0.500 0.000
11 Au 0.500 0.000 0.000
12 Au 0.500 0.500 0.500

## Properties
Energy of formation in eV per atom: 0.354
Energy relative to the lowest polymorph listed for this composition in meV per atom: 531.8

---

VASP calculation (PBE) on a relaxed structure of Dy2ErCd.

a = 7.665 Å, b = 7.665 Å, c = 7.665 Å
α = 90.00°, β = 90.00°, γ = 90.00°
Element x y z (fractional)
1 Dy 0.250 0.250 0.250
2 Dy 0.250 0.250 0.750
3 Dy 0.250 0.750 0.250
4 Dy 0.250 0.750 0.750
5 Dy 0.750 0.250 0.250
6 Dy 0.750 0.250 0.750
7 Dy 0.750 0.750 0.250
8 Dy 0.750 0.750 0.750
9 Er 0.000 0.000 0.000
10 Er 0.000 0.500 0.500
11 Er 0.500 0.000 0.500
12 Er 0.500 0.500 0.000
13 Cd 0.000 0.000 0.500
14 Cd 0.000 0.500 0.000
15 Cd 0.500 0.000 0.000
16 Cd 0.500 0.500 0.500

## Properties
Energy of formation in eV per atom: -0.022
Energy relative to the lowest polymorph listed for this composition in meV per atom: 119.5

---

VASP calculation (PBE) on a relaxed structure of TlCoSe2.

a = 6.942 Å, b = 6.942 Å, c = 6.942 Å
α = 90.00°, β = 90.00°, γ = 90.00°
Element x y z (fractional)
1 Tl 0.000 0.000 0.000
2 Tl 0.000 0.500 0.500
3 Tl 0.500 0.000 0.500
4 Tl 0.500 0.500 0.000
5 Co 0.000 0.000 0.500
6 Co 0.000 0.500 0.000
7 Co 0.500 0.000 0.000
8 Co 0.500 0.500 0.500
9 Se 0.250 0.250 0.250
10 Se 0.250 0.250 0.750
11 Se 0.250 0.750 0.250
12 Se 0.250 0.750 0.750
13 Se 0.750 0.250 0.250
14 Se 0.750 0.250 0.750
15 Se 0.750 0.750 0.250
16 Se 0.750 0.750 0.750

## Properties
Formation energy without anion corrections in meV per atom: 458

---

VASP calculation (PBE) on a relaxed structure of SrPmHgIr.

a = 7.400 Å, b = 7.400 Å, c = 7.400 Å
α = 90.00°, β = 90.00°, γ = 90.00°
Element x y z (fractional)
1 Sr 0.000 0.000 0.000
2 Sr 0.000 0.500 0.500
3 Sr 0.500 0.000 0.500
4 Sr 0.500 0.500 0.000
5 Pm 0.000 0.000 0.500
6 Pm 0.000 0.500 0.000
7 Pm 0.500 0.000 0.000
8 Pm 0.500 0.500 0.500
9 Hg 0.250 0.250 0.750
10 Hg 0.250 0.750 0.250
11 Hg 0.750 0.250 0.250
12 Hg 0.750 0.750 0.750
13 Ir 0.250 0.250 0.250
14 Ir 0.250 0.750 0.750
15 Ir 0.750 0.250 0.750
16 Ir 0.750 0.750 0.250

## Properties
Energy of formation in eV per atom: -0.333

---

VASP calculation (PBE) on a relaxed structure of KRb2LiW.

a = 7.246 Å, b = 7.246 Å, c = 6.282 Å
α = 90.00°, β = 90.00°, γ = 90.00°
Element x y z (fractional)
1 K 0.000 0.000 0.000
2 Rb 0.000 0.500 0.000
3 Rb 0.500 0.000 0.000
4 Li 0.500 0.500 0.500
5 W 0.000 0.000 0.500

## Properties
Energy of formation in eV per atom: 1.626

---

VASP calculation (PBE) on a relaxed structure of TaTiBeCo.

a = 6.030 Å, b = 6.030 Å, c = 6.030 Å
α = 90.00°, β = 90.00°, γ = 90.00°
Element x y z (fractional)
1 Ta 0.000 0.000 0.000
2 Ta 0.000 0.500 0.500
3 Ta 0.500 0.000 0.500
4 Ta 0.500 0.500 0.000
5 Ti 0.000 0.000 0.500
6 Ti 0.000 0.500 0.000
7 Ti 0.500 0.000 0.000
8 Ti 0.500 0.500 0.500
9 Be 0.250 0.250 0.750
10 Be 0.250 0.750 0.250
11 Be 0.750 0.250 0.250
12 Be 0.750 0.750 0.750
13 Co 0.250 0.250 0.250
14 Co 0.250 0.750 0.750
15 Co 0.750 0.250 0.750
16 Co 0.750 0.750 0.250

## Properties
Energy of formation in eV per atom: -0.092

---

VASP calculation (PBE) on a relaxed structure of AcPr5DyTm2.

a = 12.576 Å, b = 12.576 Å, c = 9.565 Å
α = 90.00°, β = 90.00°, γ = 154.37°
Element x y z (fractional)
1 Ac 0.103 0.897 0.500
2 Ac 0.897 0.103 0.000
3 Pr 0.025 0.975 0.831
4 Pr 0.107 0.893 0.107
5 Pr 0.189 0.811 0.797
6 Pr 0.241 0.759 0.432
7 Pr 0.490 0.510 0.616
8 Pr 0.510 0.490 0.116
9 Pr 0.759 0.241 0.932
10 Pr 0.811 0.189 0.297
11 Pr 0.893 0.107 0.607
12 Pr 0.975 0.025 0.331
13 Dy 0.265 0.735 0.107
14 Dy 0.735 0.265 0.607
15 Tm 0.325 0.675 0.747
16 Tm 0.388 0.612 0.363
17 Tm 0.612 0.388 0.863
18 Tm 0.675 0.325 0.247

## Properties
Energy of formation in eV per atom: 0.145

---

VASP calculation (PBE) on a relaxed structure of TaS3Cl.

a = 10.245 Å, b = 10.245 Å, c = 10.245 Å
α = 153.05°, β = 153.05°, γ = 38.48°
Element x y z (fractional)
1 Ta 0.000 0.000 0.000
2 Ta 0.750 0.250 0.500
3 S 0.025 0.525 0.500
4 S 0.349 0.136 0.213
5 S 0.475 0.975 0.500
6 S 0.864 0.077 0.213
7 S 0.864 0.651 0.787
8 S 0.923 0.136 0.787
9 Cl 0.285 0.285 0.000
10 Cl 0.715 0.715 0.000

## Properties
Energy relative to the lowest polymorph listed for this composition in meV per atom: 0.0
Formation energy without anion corrections in meV per atom: -336

---

VASP calculation (PBE) on a relaxed structure of FeRhS.

a = 3.642 Å, b = 3.642 Å, c = 3.367 Å
α = 90.00°, β = 90.00°, γ = 120.00°
Element x y z (fractional)
1 Fe 0.000 0.000 0.000
2 Rh 0.333 0.667 0.504
3 S 0.667 0.333 0.102

## Properties
Energy relative to the lowest polymorph listed for this composition in meV per atom: 152.1
Formation energy without anion corrections in meV per atom: -48

---

VASP calculation (PBE) on a relaxed structure of Ac12ZnHg6.

a = 9.440 Å, b = 9.440 Å, c = 9.440 Å
α = 100.20°, β = 100.20°, γ = 100.20°
Element x y z (fractional)
1 Ac 0.044 0.926 0.680
2 Ac 0.074 0.320 0.956
3 Ac 0.183 0.567 0.419
4 Ac 0.320 0.956 0.074
5 Ac 0.419 0.183 0.567
6 Ac 0.433 0.581 0.817
7 Ac 0.567 0.419 0.183
8 Ac 0.581 0.817 0.433
9 Ac 0.680 0.044 0.926
10 Ac 0.817 0.433 0.581
11 Ac 0.926 0.680 0.044
12 Ac 0.956 0.074 0.320
13 Zn 0.000 0.000 0.000
14 Hg 0.136 0.315 0.627
15 Hg 0.315 0.627 0.136
16 Hg 0.373 0.864 0.685
17 Hg 0.627 0.136 0.315
18 Hg 0.685 0.373 0.864
19 Hg 0.864 0.685 0.373

## Properties
Energy of formation in eV per atom: -0.104

---

VASP calculation (PBE) on a relaxed structure of Zr2V2Zn.

a = 3.259 Å, b = 3.259 Å, c = 17.746 Å
α = 90.00°, β = 90.00°, γ = 90.00°
Element x y z (fractional)
1 Zr 0.000 0.000 0.108
2 Zr 0.000 0.000 0.892
3 Zr 0.500 0.500 0.392
4 Zr 0.500 0.500 0.608
5 V 0.000 0.500 0.250
6 V 0.000 0.500 0.750
7 V 0.500 0.000 0.250
8 V 0.500 0.000 0.750
9 Zn 0.000 0.000 0.500
10 Zn 0.500 0.500 0.000

## Properties
Energy of formation in eV per atom: 0.349
Energy relative to the lowest polymorph listed for this composition in meV per atom: 279.0

---

VASP calculation (PBE) on a relaxed structure of CaSmMgIr.

a = 7.206 Å, b = 7.206 Å, c = 7.206 Å
α = 90.00°, β = 90.00°, γ = 90.00°
Element x y z (fractional)
1 Ca 0.000 0.000 0.000
2 Ca 0.000 0.500 0.500
3 Ca 0.500 0.000 0.500
4 Ca 0.500 0.500 0.000
5 Sm 0.000 0.000 0.500
6 Sm 0.000 0.500 0.000
7 Sm 0.500 0.000 0.000
8 Sm 0.500 0.500 0.500
9 Mg 0.250 0.250 0.250
10 Mg 0.250 0.750 0.750
11 Mg 0.750 0.250 0.750
12 Mg 0.750 0.750 0.250
13 Ir 0.250 0.250 0.750
14 Ir 0.250 0.750 0.250
15 Ir 0.750 0.250 0.250
16 Ir 0.750 0.750 0.750

## Properties
Energy of formation in eV per atom: -0.250

---

VASP calculation (PBE) on a relaxed structure of GdThCdAu.

a = 7.494 Å, b = 7.494 Å, c = 7.494 Å
α = 90.00°, β = 90.00°, γ = 90.00°
Element x y z (fractional)
1 Gd 0.000 0.000 0.000
2 Gd 0.000 0.500 0.500
3 Gd 0.500 0.000 0.500
4 Gd 0.500 0.500 0.000
5 Th 0.000 0.000 0.500
6 Th 0.000 0.500 0.000
7 Th 0.500 0.000 0.000
8 Th 0.500 0.500 0.500
9 Cd 0.250 0.250 0.750
10 Cd 0.250 0.750 0.250
11 Cd 0.750 0.250 0.250
12 Cd 0.750 0.750 0.750
13 Au 0.250 0.250 0.250
14 Au 0.250 0.750 0.750
15 Au 0.750 0.250 0.750
16 Au 0.750 0.750 0.250

## Properties
Energy of formation in eV per atom: -0.397

---

For each record above, in turn, the calculated volume values are 11.7, 23.3, 28.9, 14.8, 20.1, 30.4, 33.7, 31.9, 27.6, 18.7, 26.3, 33.8, 19.5, 28.1, 20.9, 25.3, 66.0, 13.7, 36.4, 22.1, 12.9, 41.9, 18.8, 23.4, 26.3 Å³/atom.